Entry 1:
{
  "formula": "PrDy2Mg3",
  "functional": "PBE",
  "state": "optimized geometry",
  "m_tot_mub_per_fu": 0.00,
  "dos_ef_per_ev_cell": 7.4,
  "spacegroup": "P4/mmm, No. 123",
  "dft_energy_ha_per_atom": -0.118,
  "formation_energy_ev_per_atom": -0.09,
  "lattice_angstrom": [[3.8206, 0.0000, 0.0000], [0.0000, 3.8206, 0.0000], [0.0000, 0.0000, 11.5207]],
  "species": ["Pr", "Dy", "Dy", "Mg", "Mg", "Mg"],
  "fractional_positions": [[0.5000, 0.5000, 0.5000], [0.5000, 0.5000, 0.8385], [0.5000, 0.5000, 0.1615], [0.0000, 0.0000, 0.0000], [0.0000, 0.0000, 0.6767], [0.0000, 0.0000, 0.3233]]
}

---

Entry 2:
{
  "formula": "Co4Ni7Ir",
  "functional": "PBE",
  "state": "optimized geometry",
  "m_tot_mub_per_fu": 11.94,
  "dos_ef_per_ev_cell": 14.9,
  "de_polymorph_mev_per_atom": 0.0,
  "spacegroup": "P-1, No. 2",
  "dft_energy_ha_per_atom": -0.238,
  "formation_energy_ev_per_atom": 0.00,
  "lattice_angstrom": [[-1.8162, -1.4801, -4.4880], [3.0713, -3.0539, -0.2539], [-3.5191, -6.6993, -0.6883]],
  "species": ["Co", "Co", "Co", "Co", "Ni", "Ni", "Ni", "Ni", "Ni", "Ni", "Ni", "Ir"],
  "fractional_positions": [[0.4930, 0.6576, 0.3381], [0.5070, 0.3424, 0.6619], [0.7525, 0.8373, 0.6625], [0.2475, 0.1627, 0.3375], [0.7458, 0.5013, 0.9999], [0.2542, 0.4987, 0.0001], [0.9991, 0.3345, 0.6635], [0.0009, 0.6655, 0.3365], [0.2540, 0.8361, 0.6613], [0.5000, 0.0000, 0.0000], [0.7460, 0.1639, 0.3387], [0.0000, 0.0000, 0.0000]]
}

---

Entry 3:
{
  "formula": "Tb12Tm3Mg",
  "functional": "PBE",
  "state": "optimized geometry",
  "m_tot_mub_per_fu": 0.00,
  "dos_ef_per_ev_cell": 22.0,
  "spacegroup": "P4/mmm, No. 123",
  "dft_energy_ha_per_atom": -0.161,
  "formation_energy_ev_per_atom": 0.02,
  "lattice_angstrom": [[-2.0641, 0.3967, -4.5185], [4.4186, -0.9456, -2.1015], [-4.1173, -19.5966, 0.1605]],
  "species": ["Tb", "Tb", "Tb", "Tb", "Tb", "Tb", "Tb", "Tb", "Tb", "Tb", "Tb", "Tb", "Tm", "Tm", "Tm", "Mg"],
  "fractional_positions": [[0.5000, 0.5000, 0.0000], [0.5000, 0.5000, 0.2462], [0.5000, 0.5000, 0.5000], [0.5000, 0.5000, 0.7538], [0.5000, 0.0000, 0.1235], [0.5000, 0.0000, 0.3740], [0.5000, 0.0000, 0.6260], [0.5000, 0.0000, 0.8765], [0.0000, 0.5000, 0.1235], [0.0000, 0.5000, 0.3740], [0.0000, 0.5000, 0.6260], [0.0000, 0.5000, 0.8765], [0.0000, 0.0000, 0.2483], [0.0000, 0.0000, 0.5000], [0.0000, 0.0000, 0.7517], [0.0000, 0.0000, 0.0000]]
}

---

Entry 4:
{
  "formula": "AcPrLuZn",
  "functional": "PBE",
  "state": "optimized geometry",
  "m_tot_mub_per_fu": 0.00,
  "dos_ef_per_ev_cell": 6.8,
  "spacegroup": "F-43m, No. 216",
  "dft_energy_ha_per_atom": -0.128,
  "formation_energy_ev_per_atom": 0.19,
  "lattice_angstrom": [[5.5716, 0.0000, 0.0000], [2.7858, 4.8252, 0.0000], [2.7858, 1.6084, 4.5492]],
  "species": ["Pr", "Ac", "Lu", "Zn"],
  "fractional_positions": [[0.7500, 0.7500, 0.7500], [0.0000, 0.0000, 0.0000], [0.2500, 0.2500, 0.2500], [0.5000, 0.5000, 0.5000]]
}

---

Entry 5:
{
  "formula": "TcAu2Br",
  "functional": "PBE",
  "state": "optimized geometry",
  "m_tot_mub_per_fu": 1.94,
  "dos_ef_per_ev_cell": 2.6,
  "de_polymorph_mev_per_atom": 77.7,
  "spacegroup": "Pm, No. 6",
  "dft_energy_ha_per_atom": -0.155,
  "formation_energy_uncorrected_ev_per_atom": 0.421,
  "lattice_angstrom": [[-2.2534, 1.2313, 2.1082], [1.7998, -1.1070, 2.5703], [3.9007, 6.5910, 0.3198]],
  "species": ["Au", "Au", "Tc", "Br"],
  "fractional_positions": [[0.0000, 0.9941, 0.9818], [0.5000, 0.4837, 0.1856], [0.5000, 0.5040, 0.7899], [0.0000, 0.5182, 0.5427]]
}

---

Entry 6:
{
  "formula": "Pr2CuHgO5",
  "functional": "PBE",
  "state": "optimized geometry",
  "m_tot_mub_per_fu": 0.00,
  "dos_ef_per_ev_cell": 4.6,
  "spacegroup": "P4/mbm, No. 127",
  "dft_energy_ha_per_atom": -0.228,
  "formation_energy_uncorrected_ev_per_atom": -1.895,
  "lattice_angstrom": [[5.5319, 0.0000, 0.0000], [0.0000, 6.9749, 0.0000], [0.0000, 0.0000, 6.9749]],
  "species": ["Pr", "Pr", "Pr", "Pr", "Cu", "Cu", "Hg", "Hg", "O", "O", "O", "O", "O", "O", "O", "O", "O", "O"],
  "fractional_positions": [[0.5000, 0.6775, 0.1775], [0.5000, 0.1775, 0.3225], [0.5000, 0.8225, 0.6775], [0.5000, 0.3225, 0.8225], [0.0000, 0.0000, 0.5000], [0.0000, 0.5000, 0.0000], [0.0000, 0.5000, 0.5000], [0.0000, 0.0000, 0.0000], [0.5000, 0.5000, 0.5000], [0.5000, 0.0000, 0.0000], [0.2468, 0.1261, 0.6261], [0.2468, 0.8739, 0.3739], [0.2468, 0.3739, 0.1261], [0.2468, 0.6261, 0.8739], [0.7532, 0.1261, 0.6261], [0.7532, 0.6261, 0.8739], [0.7532, 0.8739, 0.3739], [0.7532, 0.3739, 0.1261]]
}

---

Entry 7:
{
  "formula": "TaInPb4",
  "functional": "PBE",
  "state": "optimized geometry",
  "m_tot_mub_per_fu": 2.49,
  "dos_ef_per_ev_cell": 4.0,
  "spacegroup": "F-43m, No. 216",
  "dft_energy_ha_per_atom": -0.150,
  "formation_energy_ev_per_atom": 0.82,
  "lattice_angstrom": [[0.0000, 4.4745, 4.4745], [4.4745, 0.0000, 4.4745], [4.4745, 4.4745, 0.0000]],
  "species": ["Ta", "In", "Pb", "Pb", "Pb", "Pb"],
  "fractional_positions": [[0.7500, 0.7500, 0.7500], [0.0000, 0.0000, 0.0000], [0.8719, 0.3760, 0.3760], [0.3760, 0.3760, 0.8719], [0.3760, 0.8719, 0.3760], [0.3760, 0.3760, 0.3760]]
}

---

Entry 8:
{
  "formula": "Ba2LaSn",
  "functional": "PBE",
  "state": "optimized geometry",
  "m_tot_mub_per_fu": 0.00,
  "dos_ef_per_ev_cell": 10.7,
  "spacegroup": "I-42d, No. 122",
  "dft_energy_ha_per_atom": -0.118,
  "formation_energy_ev_per_atom": -0.03,
  "lattice_angstrom": [[5.1853, 0.0000, 0.0000], [0.0000, 5.1853, 0.0000], [2.5927, 2.5927, 13.1735]],
  "species": ["Ba", "Ba", "Ba", "Ba", "Sn", "Sn", "La", "La"],
  "fractional_positions": [[0.6027, 0.1250, 0.2500], [0.1473, 0.6250, 0.2500], [0.3750, 0.3973, 0.7500], [0.8750, 0.8527, 0.7500], [0.5000, 0.5000, 0.0000], [0.2500, 0.7500, 0.5000], [0.0000, 0.0000, 0.0000], [0.7500, 0.2500, 0.5000]]
}

---

Entry 9:
{
  "formula": "Tm3ZnNi",
  "functional": "PBE",
  "state": "optimized geometry",
  "m_tot_mub_per_fu": 0.00,
  "dos_ef_per_ev_cell": 11.2,
  "de_polymorph_mev_per_atom": 67.3,
  "spacegroup": "Pmmn, No. 59",
  "dft_energy_ha_per_atom": -0.159,
  "formation_energy_ev_per_atom": -0.23,
  "lattice_angstrom": [[4.5062, -0.0011, 0.0000], [0.0016, 6.5891, 0.0000], [0.0000, 0.0000, 8.0135]],
  "species": ["Tm", "Tm", "Tm", "Tm", "Tm", "Tm", "Zn", "Zn", "Ni", "Ni"],
  "fractional_positions": [[0.7500, 0.7500, 0.0541], [0.2500, 0.2500, 0.9459], [0.7500, 0.0003, 0.6596], [0.7500, 0.4997, 0.6596], [0.2500, 0.9997, 0.3404], [0.2500, 0.5003, 0.3404], [0.7500, 0.2500, 0.1897], [0.2500, 0.7500, 0.8103], [0.7500, 0.7500, 0.3873], [0.2500, 0.2500, 0.6127]]
}

---

Entry 10:
{
  "formula": "K4Pu3ZrTe8",
  "functional": "PBE",
  "state": "optimized geometry",
  "m_tot_mub_per_fu": 16.00,
  "dos_ef_per_ev_cell": 39.7,
  "spacegroup": "R-3m, No. 166",
  "dft_energy_ha_per_atom": -0.226,
  "formation_energy_uncorrected_ev_per_atom": -1.085,
  "lattice_angstrom": [[-2.8290, -7.9544, -3.0647], [7.0446, 0.0769, -6.7021], [2.4437, 0.8892, 8.5969]],
  "species": ["K", "K", "K", "K", "Pu", "Pu", "Pu", "Zr", "Te", "Te", "Te", "Te", "Te", "Te", "Te", "Te"],
  "fractional_positions": [[0.5000, 0.0000, 0.0000], [0.5000, 0.0000, 0.5000], [0.0000, 0.0000, 0.0000], [0.0000, 0.0000, 0.5000], [0.5000, 0.5000, 0.0000], [0.5000, 0.5000, 0.5000], [0.0000, 0.5000, 0.5000], [0.0000, 0.5000, 0.0000], [0.2271, 0.7059, 0.9788], [0.2271, 0.7059, 0.4542], [0.2625, 0.2875, 0.5250], [0.7517, 0.7059, 0.9788], [0.2483, 0.2941, 0.0212], [0.7375, 0.7125, 0.4750], [0.7729, 0.2941, 0.5458], [0.7729, 0.2941, 0.0212]]
}

---

Entry 11:
{
  "formula": "ScAgRu2",
  "functional": "PBE",
  "state": "optimized geometry",
  "m_tot_mub_per_fu": 0.00,
  "dos_ef_per_ev_cell": 4.7,
  "de_polymorph_mev_per_atom": 160.2,
  "spacegroup": "P4/mmm, No. 123",
  "dft_energy_ha_per_atom": -0.248,
  "formation_energy_ev_per_atom": 0.19,
  "lattice_angstrom": [[-1.4863, -1.9609, -2.1326], [2.4645, -2.1158, 0.2278], [-2.8706, -2.8464, 4.6179]],
  "species": ["Ag", "Ru", "Ru", "Sc"],
  "fractional_positions": [[0.5000, 0.5000, 0.7500], [0.0000, 0.0000, 0.0159], [0.0000, 0.0000, 0.4841], [0.5000, 0.5000, 0.2500]]
}

---

What did the fourth record say?
{
  "formula": "AcPrLuZn",
  "functional": "PBE",
  "state": "optimized geometry",
  "m_tot_mub_per_fu": 0.00,
  "dos_ef_per_ev_cell": 6.8,
  "spacegroup": "F-43m, No. 216",
  "dft_energy_ha_per_atom": -0.128,
  "formation_energy_ev_per_atom": 0.19,
  "lattice_angstrom": [[5.5716, 0.0000, 0.0000], [2.7858, 4.8252, 0.0000], [2.7858, 1.6084, 4.5492]],
  "species": ["Pr", "Ac", "Lu", "Zn"],
  "fractional_positions": [[0.7500, 0.7500, 0.7500], [0.0000, 0.0000, 0.0000], [0.2500, 0.2500, 0.2500], [0.5000, 0.5000, 0.5000]]
}